1.
Computed, not measured: a geometry-optimized K3Rb4BaF8 structure at the PBE level of DFT.

a = 8.1931 Å, b = 8.1931 Å, c = 8.1931 Å
α = 59.19°, β = 59.19°, γ = 59.19°
Last column: nearest neighbours and their distance in Å.
Element x y z (fractional)
K  0.0000  0.5000  0.5000  6 F 2.81-2.82
K  0.5000  0.0000  0.5000  6 F 2.81-2.82
K  0.5000  0.5000  0.0000  6 F 2.81-2.82
Rb  0.0000  0.0000  0.5000  6 F 2.95-2.96
Rb  0.0000  0.5000  0.0000  6 F 2.95-2.96
Rb  0.5000  0.0000  0.0000  6 F 2.95-2.96
Rb  0.5000  0.5000  0.5000  6 F 3.12
Ba  0.0000  0.0000  0.0000  6 F 2.64
F  0.2295  0.2295  0.7585  1 Ba 2.64, 2 K 2.82
F  0.2295  0.7585  0.2295  1 Ba 2.64, 2 K 2.82
F  0.2415  0.7705  0.7705  1 Ba 2.64, 2 K 2.82
F  0.2556  0.2556  0.2556  3 K 2.81, 3 Rb 2.95
F  0.7444  0.7444  0.7444  3 K 2.81, 3 Rb 2.95
F  0.7585  0.2295  0.2295  1 Ba 2.64, 2 K 2.82
F  0.7705  0.2415  0.7705  1 Ba 2.64, 2 K 2.82
F  0.7705  0.7705  0.2415  1 Ba 2.64, 2 K 2.82

DOS(E_F) in states/eV per cell: 2.32
Formation energy from raw total energies in eV/f.u.: -42.5
Size of the total moment in μB per atom: 0.00

2.
Computed, not measured: a geometry-optimized Zr2PbCl structure at the PBE level of DFT.

a = 3.3809 Å, b = 3.3809 Å, c = 9.6922 Å
α = 90.00°, β = 90.00°, γ = 124.14°
Last column: nearest neighbours and their distance in Å.
Element x y z (fractional)
Zr  0.0000  0.0000  0.2294  2 Cl 2.73
Zr  0.0000  0.0000  0.7706  2 Cl 2.73
Pb  0.5000  0.5000  0.5000  4 Zr 3.06, 6 Pb 3.17-3.38
Cl  0.5000  0.5000  0.0000  4 Zr 2.73

DOS(E_F) in states/eV per cell: 2.55
Formation energy from raw total energies in eV/f.u.: -1.4
Size of the total moment in μB per atom: 0.00

3.
Computed, not measured: a geometry-optimized LiCd5Pd3 structure at the PBE level of DFT.

a = 8.2086 Å, b = 8.2086 Å, c = 5.6634 Å
α = 90.00°, β = 90.00°, γ = 120.00°
Last column: nearest neighbours and their distance in Å.
Element x y z (fractional)
Li  0.0000  0.0000  0.0000  2 Li 2.83, 6 Cd 2.85
Li  0.0000  0.0000  0.5000  2 Li 2.83, 6 Cd 2.85
Cd  0.0000  0.3016  0.2500  5 Pd 2.75-2.87, 2 Li 2.85
Cd  0.0000  0.6984  0.7500  5 Pd 2.75-2.87, 2 Li 2.85
Cd  0.3016  0.0000  0.2500  5 Pd 2.75-2.87, 2 Li 2.85
Cd  0.3016  0.3016  0.7500  5 Pd 2.75-2.87, 2 Li 2.85
Cd  0.3333  0.6667  0.0000  2 Cd 2.83, 6 Pd 2.99
Cd  0.3333  0.6667  0.5000  2 Cd 2.83, 6 Pd 2.99
Cd  0.6667  0.3333  0.0000  2 Cd 2.83, 6 Pd 2.99
Cd  0.6667  0.3333  0.5000  2 Cd 2.83, 6 Pd 2.99
Cd  0.6984  0.0000  0.7500  5 Pd 2.75-2.87, 2 Li 2.85
Cd  0.6984  0.6984  0.2500  5 Pd 2.75-2.87, 2 Li 2.85
Pd  0.0000  0.3602  0.7500  9 Cd 2.75-2.99
Pd  0.0000  0.6398  0.2500  9 Cd 2.75-2.99
Pd  0.3602  0.0000  0.7500  9 Cd 2.75-2.99
Pd  0.3602  0.3602  0.2500  9 Cd 2.75-2.99
Pd  0.6398  0.0000  0.2500  9 Cd 2.75-2.99
Pd  0.6398  0.6398  0.7500  9 Cd 2.75-2.99

DOS(E_F) in states/eV per cell: 11.43
Size of the total moment in μB per atom: 0.00
ΔH_f (0 K) in eV per atom: -0.3009

4.
Computed, not measured: a geometry-optimized Tl3In9Sn2 structure at the PBE level of DFT.

a = 9.5542 Å, b = 9.5542 Å, c = 9.5542 Å
α = 150.02°, β = 105.86°, γ = 81.99°
Last column: nearest neighbours and their distance in Å.
Element x y z (fractional)
Tl  0.0000  0.0000  0.0000  8 In 3.54
Tl  0.2929  0.2929  0.0000  12 In 3.56-3.88, 2 Sn 3.60
Tl  0.7071  0.7071  0.0000  12 In 3.56-3.88, 2 Sn 3.60
In  0.0156  0.6429  0.3726  4 In 2.93-3.09, 1 Sn 3.07
In  0.1338  0.8459  0.2879  4 In 3.09-3.30, 2 Sn 3.35
In  0.2703  0.6429  0.6274  4 In 2.93-3.09, 1 Sn 3.07
In  0.4420  0.1541  0.2879  4 In 3.09-3.30, 2 Sn 3.35
In  0.5000  0.0000  0.5000  4 Sn 3.19, 4 In 3.30
In  0.5580  0.8459  0.7121  4 In 3.09-3.30, 2 Sn 3.35
In  0.7297  0.3571  0.3726  4 In 2.93-3.09, 1 Sn 3.07
In  0.8662  0.1541  0.7121  4 In 3.09-3.30, 2 Sn 3.35
In  0.9844  0.3571  0.6274  4 In 2.93-3.09, 1 Sn 3.07
Sn  0.3252  0.5000  0.8252  8 In 3.07-3.35
Sn  0.6748  0.5000  0.1748  8 In 3.07-3.35

DOS(E_F) in states/eV per cell: 4.50
Size of the total moment in μB per atom: 0.00
ΔH_f (0 K) in eV per atom: 0.0373

5.
Computed, not measured: a geometry-optimized K4TbTh3Te8 structure at the PBE level of DFT.

a = 9.9029 Å, b = 9.9029 Å, c = 9.9029 Å
α = 53.73°, β = 53.73°, γ = 53.73°
Last column: nearest neighbours and their distance in Å.
Element x y z (fractional)
K  0.0000  0.0000  0.0000  6 Te 3.55
K  0.0000  0.5000  0.5000  6 Te 3.49-3.51
K  0.5000  0.0000  0.5000  6 Te 3.49-3.51
K  0.5000  0.5000  0.0000  6 Te 3.49-3.51
Tb  0.5000  0.5000  0.5000  6 Te 3.14
Th  0.0000  0.0000  0.5000  6 Te 3.18-3.19
Th  0.0000  0.5000  0.0000  6 Te 3.18-3.19
Th  0.5000  0.0000  0.0000  6 Te 3.18-3.19
Te  0.2406  0.2406  0.2406  3 Th 3.19, 3 K 3.49
Te  0.2435  0.7367  0.7367  1 Tb 3.14, 2 Th 3.18, 2 K 3.51
Te  0.2633  0.2633  0.7565  1 Tb 3.14, 2 Th 3.18, 2 K 3.51
Te  0.2633  0.7565  0.2633  1 Tb 3.14, 2 Th 3.18, 2 K 3.51
Te  0.7367  0.2435  0.7367  1 Tb 3.14, 2 Th 3.18, 2 K 3.51
Te  0.7367  0.7367  0.2435  1 Tb 3.14, 2 Th 3.18, 2 K 3.51
Te  0.7565  0.2633  0.2633  1 Tb 3.14, 2 Th 3.18, 2 K 3.51
Te  0.7594  0.7594  0.7594  3 Th 3.19, 3 K 3.49

DOS(E_F) in states/eV per cell: 10.15
Formation energy from raw total energies in eV/f.u.: -19.6
Size of the total moment in μB per atom: 0.00

Question: size of the total moment of number 5 (K4TbTh3Te8)?
Answer: 0.00 μB per atom